Here is an optimized crystal structure of MnIn2Rh from the Alexandria database. Energies are from PBE-GGA.

```
16
Lattice="7.408 0.000 0.000 0.000 7.408 0.000 0.000 0.000 5.728" Properties=species:S:1:pos:R:3 pbc="T T T"
Mn 0.000 0.000 0.000
Mn 0.000 3.704 1.432
Mn 3.704 0.000 4.296
Mn 3.704 3.704 2.864
In 1.779 5.556 3.580
In 1.852 1.779 2.148
In 1.852 1.925 5.012
In 1.925 5.556 0.716
In 5.484 1.852 0.716
In 5.556 5.484 5.012
In 5.556 5.629 2.148
In 5.629 1.852 3.580
Rh 0.000 0.000 2.864
Rh 0.000 3.704 4.296
Rh 3.704 0.000 1.432
Rh 3.704 3.704 0.000
```

Summary:
Magnetic moment (μB per formula unit): 3.63
E_form (eV/atom): 0.25
Electronic total energy (eV per atom): -5.2502


Here is an optimized crystal structure of Ce3C2S from the Alexandria database. Energies are from PBE-GGA.

```
12
Lattice="5.429 -3.515 0.000 5.429 3.515 0.000 0.000 0.000 6.422" Properties=species:S:1:pos:R:3 pbc="T T T"
Ce 5.429 3.100 4.816
Ce 3.352 1.282 1.605
Ce 3.352 -1.282 4.816
Ce 7.505 1.282 1.605
Ce 7.505 -1.282 4.816
Ce 5.429 -3.100 1.605
C 1.975 0.000 0.000
C 1.975 0.000 3.211
C 8.883 0.000 0.000
C 8.883 0.000 3.211
S 5.429 0.522 4.816
S 5.429 -0.522 1.605
```

Summary:
Formation energy from raw total energies (meV per atom): -477.6
Magnetic moment (μB per formula unit): 1.87
Electronic total energy (eV per atom): -7.2071


Here is an optimized crystal structure of TlNiAuN2 from the Alexandria database. Energies are from PBE-GGA.

```
5
Lattice="3.759 0.000 0.000 0.000 3.759 0.000 0.000 0.000 5.645" Properties=species:S:1:pos:R:3 pbc="T T T"
Tl 0.000 0.000 0.000
Ni 1.880 1.880 2.823
Au 1.880 1.880 0.000
N 0.000 1.880 2.823
N 1.880 0.000 2.823
```

Summary:
Formation energy from raw total energies (meV per atom): 1202.4
Magnetic moment (μB per formula unit): 0.00
Electronic total energy (eV per atom): -4.4127


> Look up the magnetic moment of the first one.

3.63 μB per formula unit